DFT (PBE) results for an optimized crystal structure of CaDy2Ga3.

Unit cell a=3.584 b=3.584 c=10.950 alpha=90.00 beta=90.00 gamma=90.00
Sites, in units of the cell vectors:
Ca (0.000, 0.000, 0.000)
Dy (0.000, 0.000, 0.334)
Dy (0.000, 0.000, 0.666)
Ga (0.500, 0.500, 0.174)
Ga (0.500, 0.500, 0.500)
Ga (0.500, 0.500, 0.826)

Calculated values
**Final energy**: -0.2874 Ry/atom

=====

DFT (PBE) results for an optimized crystal structure of TlCoC2.

Unit cell a=6.029 b=6.029 c=6.029 alpha=128.41 beta=128.41 gamma=75.96
Sites, in units of the cell vectors:
Tl (0.375, 0.625, 0.750)
Tl (0.625, 0.375, 0.250)
Co (0.125, 0.875, 0.250)
Co (0.875, 0.125, 0.750)
C (0.000, 0.000, 0.000)
C (0.000, 0.000, 0.500)
C (0.000, 0.500, 0.000)
C (0.500, 0.000, 0.500)

Calculated values
**Final energy**: -0.4252 Ry/atom
**Relative energy among the computed polymorphs**: 0 kJ/mol of formula units

=====

DFT (PBE) results for an optimized crystal structure of NaSrPd.

Unit cell a=5.113 b=5.113 c=5.113 alpha=60.00 beta=60.00 gamma=60.00
Sites, in units of the cell vectors:
Na (0.000, 0.000, 0.000)
Sr (0.500, 0.500, 0.500)
Pd (0.750, 0.750, 0.750)

Calculated values
**Final energy**: -0.2178 Ry/atom
**Relative energy among the computed polymorphs**: 43 kJ/mol of formula units

=====

DFT (PBE) results for an optimized crystal structure of Ti2CuAgAs.

Unit cell a=4.996 b=4.996 c=4.715 alpha=90.00 beta=90.00 gamma=90.00
Sites, in units of the cell vectors:
Ti (0.000, 0.500, 0.000)
Ti (0.500, 0.000, 0.000)
Cu (0.000, 0.000, 0.500)
Ag (0.500, 0.500, 0.000)
As (0.500, 0.500, 0.500)

Calculated values
**Final energy**: -0.3123 Ry/atom

=====

DFT (PBE) results for an optimized crystal structure of FeTc.

Unit cell a=3.726 b=3.726 c=5.050 alpha=90.00 beta=90.00 gamma=120.00
Sites, in units of the cell vectors:
Fe (0.333, 0.667, 0.250)
Fe (0.667, 0.333, 0.750)
Tc (0.000, 0.000, 0.000)
Tc (0.000, 0.000, 0.500)

Calculated values
**Final energy**: -0.6273 Ry/atom

=====

DFT (PBE) results for an optimized crystal structure of BaLa3V.

Unit cell a=5.717 b=5.717 c=5.717 alpha=90.00 beta=90.00 gamma=90.00
Sites, in units of the cell vectors:
Ba (0.000, 0.000, 0.000)
La (0.000, 0.500, 0.500)
La (0.500, 0.000, 0.500)
La (0.500, 0.500, 0.000)
V (0.500, 0.500, 0.500)

Calculated values
**Final energy**: -0.3542 Ry/atom